Record 1
A plane-wave DFT calculation with GGA-PBE was carried out for an optimized crystal structure of SiSN.

abc: 2.9271 6.4125 6.7250
angles: 116.12 102.02 91.01
Positions (direct):
Si  0.1707  0.3599  0.3457
Si  0.8293  0.6401  0.6543
S  0.0068  0.7514  0.0143
S  0.9932  0.2486  0.9857
N  0.2769  0.6801  0.5417
N  0.7231  0.3199  0.4583

Properties
Final energy (eV/atom): -6.2622
Symmetry: P-1
Size of the total moment (μB per cell): 0.000
Raw formation energy (eV per atom): -0.304

***

Record 2
A plane-wave DFT calculation with GGA-PBE was carried out for an optimized crystal structure of LiRhO2F.

abc: 3.7073 3.7073 3.3742
angles: 90.00 90.00 90.00
Positions (direct):
Li  0.0000  0.0000  0.0000
Rh  0.5000  0.5000  0.5000
O  0.0000  0.5000  0.0000
O  0.5000  0.0000  0.0000
F  0.0000  0.0000  0.5000

Properties
Final energy (eV/atom): -4.4696
Symmetry: P4/mmm
Size of the total moment (μB per cell): 2.341
Raw formation energy (eV per atom): -0.259

***

Record 3
A plane-wave DFT calculation with GGA-PBE was carried out for an optimized crystal structure of ScZn3Os.

abc: 4.9161 4.9161 4.9161
angles: 90.00 90.00 90.00
Positions (direct):
Sc  0.0000  0.0000  0.0000
Zn  0.0000  0.0000  0.5000
Zn  0.0000  0.5000  0.0000
Zn  0.5000  0.0000  0.0000
Os  0.5000  0.5000  0.5000

Properties
Final energy (eV/atom): -2.4746
Symmetry: Pm-3m
Size of the total moment (μB per cell): 2.269
Energy relative to the elements (meV/atom): 1802

***

Record 4
A plane-wave DFT calculation with GGA-PBE was carried out for an optimized crystal structure of KCd4Te.

abc: 6.2416 6.2416 6.2416
angles: 60.00 60.00 60.00
Positions (direct):
K  0.0000  0.0000  0.0000
Cd  0.3761  0.3761  0.3761
Cd  0.3761  0.3761  0.8717
Cd  0.3761  0.8717  0.3761
Cd  0.8717  0.3761  0.3761
Te  0.7500  0.7500  0.7500

Properties
Final energy (eV/atom): -1.3872
Symmetry: F-43m
Size of the total moment (μB per cell): 0.000
Raw formation energy (eV per atom): -0.071

***

Record 5
A plane-wave DFT calculation with GGA-PBE was carried out for an optimized crystal structure of Ho2ErCdO.

abc: 4.7608 4.7608 4.7386
angles: 90.00 90.00 90.00
Positions (direct):
Ho  0.0000  0.5000  0.0000
Ho  0.5000  0.0000  0.0000
Er  0.0000  0.0000  0.5000
Cd  0.5000  0.5000  0.5000
O  0.0000  0.0000  0.0000

Properties
Final energy (eV/atom): -5.2397
Symmetry: P4/mmm
Size of the total moment (μB per cell): 0.000
Raw formation energy (eV per atom): -1.321

***

Record 6
A plane-wave DFT calculation with GGA-PBE was carried out for an optimized crystal structure of Tm2InCu3.

abc: 8.9185 8.4585 5.6043
angles: 75.70 66.79 37.51
Positions (direct):
Tm  0.2391  0.7609  0.7609
Tm  0.2500  0.2500  0.2500
Tm  0.7500  0.7500  0.7500
Tm  0.7609  0.2391  0.2391
In  0.3351  0.3351  0.6649
In  0.6649  0.6649  0.3351
Cu  0.1618  0.6769  0.3231
Cu  0.1629  0.1629  0.8371
Cu  0.3231  0.8382  0.1618
Cu  0.6769  0.1618  0.8382
Cu  0.8371  0.8371  0.1629
Cu  0.8382  0.3231  0.6769

Properties
Final energy (eV/atom): -4.2462
Symmetry: Fmmm
Size of the total moment (μB per cell): 0.000
Energy relative to the elements (meV/atom): -251

***

Record 7
A plane-wave DFT calculation with GGA-PBE was carried out for an optimized crystal structure of InTeCl.

abc: 6.1481 4.5043 9.1161
angles: 90.00 104.68 90.00
Positions (direct):
In  0.0000  0.0000  0.0000
In  0.3670  0.0000  0.5699
Te  0.1314  0.5000  0.4082
Te  0.3515  0.5000  0.1791
Cl  0.3727  0.0000  0.8390
Cl  0.7622  0.0000  0.5793

Properties
Final energy (eV/atom): -3.0726
Symmetry: Pm
Size of the total moment (μB per cell): 0.000
Raw formation energy (eV per atom): -0.497

***

Record 8
A plane-wave DFT calculation with GGA-PBE was carried out for an optimized crystal structure of PmGdHgSb.

abc: 5.3823 5.3823 5.3823
angles: 60.00 60.00 60.00
Positions (direct):
Pm  0.0000  0.0000  0.0000
Gd  0.5000  0.5000  0.5000
Hg  0.7500  0.7500  0.7500
Sb  0.2500  0.2500  0.2500

Properties
Final energy (eV/atom): -6.4787
Symmetry: F-43m
Size of the total moment (μB per cell): 7.754
Raw formation energy (eV per atom): -0.665

***

Record 9
A plane-wave DFT calculation with GGA-PBE was carried out for an optimized crystal structure of BaLi2La.

abc: 5.8460 5.8460 5.8460
angles: 60.00 60.00 60.00
Positions (direct):
Ba  0.0000  0.0000  0.0000
Li  0.2500  0.2500  0.2500
Li  0.7500  0.7500  0.7500
La  0.5000  0.5000  0.5000

Properties
Final energy (eV/atom): -2.4866
Symmetry: Fm-3m
Size of the total moment (μB per cell): 0.000
Energy relative to the elements (meV/atom): 183

***

Record 10
A plane-wave DFT calculation with GGA-PBE was carried out for an optimized crystal structure of Tm3V.

abc: 5.2802 5.2802 5.2802
angles: 60.00 60.00 60.00
Positions (direct):
Tm  0.0000  0.0000  0.0000
Tm  0.2500  0.2500  0.2500
Tm  0.7500  0.7500  0.7500
V  0.5000  0.5000  0.5000

Properties
Final energy (eV/atom): -5.3500
Symmetry: Fm-3m
Size of the total moment (μB per cell): 3.645
Energy relative to the elements (meV/atom): 283

***

Record 11
A plane-wave DFT calculation with GGA-PBE was carried out for an optimized crystal structure of Pu3Pd4Pb.

abc: 8.5470 8.5470 8.5470
angles: 155.83 132.80 53.72
Positions (direct):
Pu  0.0000  0.0000  0.0000
Pu  0.3078  0.8078  0.5000
Pu  0.6922  0.1922  0.5000
Pd  0.0624  0.3664  0.6961
Pd  0.3297  0.6336  0.6961
Pd  0.6703  0.3664  0.3039
Pd  0.9376  0.6336  0.3039
Pb  0.5000  0.5000  0.0000

Properties
Final energy (eV/atom): -8.7089
Symmetry: Immm
Size of the total moment (μB per cell): 16.252
Energy relative to the elements (meV/atom): -274

***

Record 12
A plane-wave DFT calculation with GGA-PBE was carried out for an optimized crystal structure of CaTlCd3.

abc: 5.9586 5.9586 5.9586
angles: 90.00 90.00 90.00
Positions (direct):
Ca  0.0000  0.0000  0.0000
Tl  0.5000  0.5000  0.5000
Cd  0.0000  0.0000  0.5000
Cd  0.0000  0.5000  0.0000
Cd  0.5000  0.0000  0.0000

Properties
Final energy (eV/atom): -0.9548
Symmetry: Pm-3m
Size of the total moment (μB per cell): 0.000
Energy relative to the elements (meV/atom): 468